Below is crystalline CoSbRh2Pb at its relaxed geometry, with properties calculated at the GGA-PBE level.

The value obtained for the magnetization is 3.24 μB per formula unit. The calculation puts the energy relative to the elements, uncorrected at 3.0 eV/f.u.

The structure belongs to space group P4/mmm (No. 123); the cell edges are 4.7306, 4.7306 and 4.6722 Å and the angles 90.00°, 90.00° and 90.00°. The asymmetric unit holds Co at (0.0000, 0.0000, 0.0000), Sb at (0.0000, 0.0000, 0.5000), Rh at (0.0000, 0.5000, 0.0000) and Pb at (0.5000, 0.5000, 0.5000).